Entry 1:
First-principles (GGA-PBE) data for an optimized crystal structure of LiMgRh2, as listed in Alexandria.

Cell lengths 10.0052, 2.7952, 4.6468 Å; angles 90.00, 116.58, 90.00 degrees
Last column: nearest neighbours and their distance in Å.
Space group Cm (No. 8)
Unique sites:
Li: 0.0000 0.0000 0.0000 (multiplicity 2)  3 Mg 2.65-2.87, 7 Rh 2.66-2.77, 2 Li 2.80
Mg: 0.2324 0.0000 0.5789 (multiplicity 2)  3 Li 2.65-2.87, 7 Rh 2.68-2.75, 2 Mg 2.80
Rh: 0.2504 0.5000 0.0868 (multiplicity 2)  5 Rh 2.65-2.85, 4 Mg 2.68-2.75, 3 Li 2.70-2.74
Rh: 0.4829 0.0000 0.4968 (multiplicity 2)  5 Rh 2.65-2.85, 4 Li 2.66-2.77, 3 Mg 2.70-2.73

Output
DOS at the Fermi energy	7.57	states/eV per cell
spin magnetization	0.000	μB/atom
calculated total energy	-38.62	eV for the cell shown

=====

Entry 2:
First-principles (GGA-PBE) data for an optimized crystal structure of LaMg2Si, as listed in Alexandria.

Cell lengths 4.4684, 4.4684, 9.8445 Å; angles 90.00, 90.00, 90.00 degrees
Last column: nearest neighbours and their distance in Å.
Space group I4/mmm (No. 139)
Unique sites:
La: 0.0000 0.0000 0.0000 (multiplicity 2)  4 Si 3.16, 8 Mg 3.32
Mg: 0.0000 0.5000 0.2500 (multiplicity 4)  4 Mg 3.16, 4 La 3.32, 4 Si 3.32
Si: 0.0000 0.0000 0.5000 (multiplicity 2)  4 La 3.16, 8 Mg 3.32

Output
DOS at the Fermi energy	4.71	states/eV per cell
energy relative to the elements, uncorrected	-0.49	eV/f.u.
spin magnetization	0.000	μB/atom

=====

Entry 3:
First-principles (GGA-PBE) data for an optimized crystal structure of ZnCrIrW, as listed in Alexandria.

Cell lengths 6.1034, 6.1034, 6.1034 Å; angles 90.00, 90.00, 90.00 degrees
Last column: nearest neighbours and their distance in Å.
Space group F-43m (No. 216)
Unique sites:
Zn: 0.0000 0.0000 0.0000 (multiplicity 4)  4 Cr 2.64, 4 Ir 2.64
Cr: 0.2500 0.2500 0.7500 (multiplicity 4)  4 W 2.64, 4 Zn 2.64
Ir: 0.2500 0.2500 0.2500 (multiplicity 4)  4 W 2.64, 4 Zn 2.64
W: 0.0000 0.0000 0.5000 (multiplicity 4)  4 Ir 2.64, 4 Cr 2.64

Output
DOS at the Fermi energy	14.28	states/eV per cell
spin magnetization	0.225	μB/atom
calculated total energy	-130.37	eV for the cell shown

=====

Entry 4:
First-principles (GGA-PBE) data for an optimized crystal structure of NaBi2Pt, as listed in Alexandria.

Cell lengths 3.4736, 3.4736, 8.6428 Å; angles 90.00, 90.00, 90.00 degrees
Last column: nearest neighbours and their distance in Å.
Space group P4/mmm (No. 123)
Unique sites:
Na: 0.0000 0.0000 0.0000 (multiplicity 1)  4 Na 3.47, 8 Bi 3.56
Bi: 0.5000 0.5000 0.2975 (multiplicity 2)  4 Pt 3.02
Pt: 0.0000 0.0000 0.5000 (multiplicity 1)  8 Bi 3.02

Output
DOS at the Fermi energy	1.95	states/eV per cell
offset from the most stable computed form	169	meV/atom
spin magnetization	0.000	μB/atom

=====

Entry 5:
First-principles (GGA-PBE) data for an optimized crystal structure of HfCdIr2, as listed in Alexandria.

Cell lengths 3.3098, 3.3098, 6.3109 Å; angles 90.00, 90.00, 90.00 degrees
Last column: nearest neighbours and their distance in Å.
Space group P4/mmm (No. 123)
Unique sites:
Hf: 0.0000 0.0000 0.0000 (multiplicity 1)  8 Ir 2.78
Cd: 0.0000 0.0000 0.5000 (multiplicity 1)  8 Ir 2.86, 2 Hf 3.16
Ir: 0.5000 0.5000 0.2384 (multiplicity 2)  4 Hf 2.78, 4 Cd 2.86, 1 Ir 3.01

Output
DOS at the Fermi energy	2.21	states/eV per cell
spin magnetization	0.000	μB/atom
calculated total energy	-30.70	eV for the cell shown

=====

Entry 6:
First-principles (GGA-PBE) data for an optimized crystal structure of Na2PmPb, as listed in Alexandria.

Cell lengths 7.6480, 7.6480, 7.6480 Å; angles 90.00, 90.00, 90.00 degrees
Last column: nearest neighbours and their distance in Å.
Space group Fm-3m (No. 225)
Unique sites:
Na: 0.2500 0.2500 0.2500 (multiplicity 8)  4 Pb 3.31, 4 Pm 3.31
Pm: 0.0000 0.0000 0.0000 (multiplicity 4)  8 Na 3.31
Pb: 0.0000 0.0000 0.5000 (multiplicity 4)  8 Na 3.31

Output
DOS at the Fermi energy	10.46	states/eV per cell
offset from the most stable computed form	203	meV/atom
spin magnetization	0.000	μB/atom